DFT (PBE-GGA) results for a geometry-optimized HfNbAsC structure.

POSCAR file:
```
HfNbAsC
1.0
3.378 0.000 0.000
-1.689 2.925 0.000
0.000 0.000 12.254
Hf Nb C As
2 2 2 2
direct
0.000 0.000 0.345
0.000 0.000 0.655
0.333 0.667 0.149
0.333 0.667 0.851
0.667 0.333 0.247
0.667 0.333 0.753
0.333 0.667 0.500
0.000 0.000 0.000
```

Output
**Space-group type**: P-6m2
**Energy above the lowest structure with this stoichiometry**: 0.011 eV per atom